PrCuHg2: relaxed, PBE-GGA.

Total moment = 0.0 μB/f.u.
E = -2.58 eV/atom
Energy of formation from the pure elements = -0.212 eV per atom

Unit cell a=5.069 b=5.069 c=5.069 alpha=60.00 beta=60.00 gamma=60.00
Positions (direct):
Pr1 0.000 0.000 0.000
Cu1 0.500 0.500 0.500
Hg1 0.250 0.250 0.250
Hg2 0.750 0.750 0.750